# 1
## TmUTe4 (GGA-PBEsol)

Data for a relaxed TmUTe4 crystal.

```
TmUTe4
1.0
-2.033 3.008 6.897
2.033 -3.008 6.897
2.033 3.008 -6.897
Tm U Te
1 1 4
Cartesian
0.000 0.000 0.000 Tm
0.000 0.000 3.767 U
2.033 1.499 1.905 Te
2.033 0.000 5.994 Te
0.000 3.008 4.674 Te
0.000 1.509 8.803 Te
```

Volume = 168.8 Å³/f.u.
DFT total energy = -6.061 eV/atom
E_form (uncorrected) = -5.2 eV per formula unit
Calculated density = 9.027 Mg/m³
Space group = Imm2 (44)

***

# 2
## MgS2Br (GGA-PBEsol)

Data for a relaxed MgS2Br crystal.

```
MgS2Br
1.0
0.000 3.340 3.340
3.340 0.000 3.340
3.340 3.340 0.000
Mg S Br
1 2 1
Cartesian
0.000 0.000 0.000 Mg
1.670 1.670 1.670 S
5.009 5.009 5.009 S
3.340 3.340 3.340 Br
```

Volume = 74.5 Å³/f.u.
DFT total energy = -2.907 eV/atom
E_form (uncorrected) = 0.7 eV per formula unit
Calculated density = 3.752 Mg/m³
Space group = Fm-3m (225)

***

# 3
## ZrAs2Rh (GGA-PBEsol)

Data for a relaxed ZrAs2Rh crystal.

```
ZrAs2Rh
1.0
3.196 0.000 0.000
0.000 3.858 0.000
0.000 0.000 5.586
Zr As Rh
1 2 1
Cartesian
0.000 0.000 0.000 Zr
1.598 1.929 1.334 As
1.598 1.929 4.252 As
1.598 0.000 2.793 Rh
```

Volume = 68.9 Å³/f.u.
DFT total energy = -7.465 eV/atom
Calculated density = 8.293 Mg/m³
E_form = -604.8 meV/atom
Space group = Pmmm (47)

***

# 4
## PS2NCl (GGA-PBEsol)

Data for a relaxed PS2NCl crystal.

```
PS2NCl
1.0
4.434 0.000 0.000
0.000 4.434 0.000
0.000 0.000 4.794
P S N Cl
1 2 1 1
Cartesian
0.000 0.000 0.000 P
0.000 2.217 0.000 S
2.217 0.000 0.000 S
2.217 2.217 2.397 N
0.000 0.000 2.397 Cl
```

Volume = 94.3 Å³/f.u.
DFT total energy = -3.683 eV/atom
E_form (uncorrected) = 6.7 eV per formula unit
Calculated density = 2.547 Mg/m³
Space group = P4/mmm (123)

***

# 5
## Li2CrCl (GGA-PBEsol)

Data for a relaxed Li2CrCl crystal.

```
Li2CrCl
1.0
1.707 -2.624 0.000
1.707 2.624 0.000
0.000 0.000 8.036
Li Cr Cl
2 1 1
Cartesian
0.000 0.000 1.597 Li
0.000 0.000 6.439 Li
1.707 0.000 4.018 Cr
1.707 0.000 0.000 Cl
```

Volume = 72.0 Å³/f.u.
DFT total energy = -4.265 eV/atom
E_form (uncorrected) = -0.9 eV per formula unit
Calculated density = 2.337 Mg/m³
Space group = Cmmm (65)

***

# 6
## BeAl2Cd (GGA-PBEsol)

Data for a relaxed BeAl2Cd crystal.

```
BeAl2Cd
1.0
2.577 -4.973 0.000
2.577 4.973 0.000
-1.419 0.000 2.563
Be Al Cd
1 2 1
Cartesian
0.000 0.000 0.000 Be
1.289 2.487 0.000 Al
1.289 -2.487 0.000 Al
2.577 0.000 0.000 Cd
```

Volume = 65.7 Å³/f.u.
ΔE to the lowest computed polymorph = 0.080 eV/atom
DFT total energy = -3.001 eV/atom
Calculated density = 4.433 Mg/m³
E_form = 343.6 meV/atom
Space group = C2/m (12)

***

# 7
## NdAlO3 (GGA-PBEsol)

Data for a relaxed NdAlO3 crystal.

```
NdAlO3
1.0
2.662 1.537 4.283
-2.662 1.537 4.283
0.000 -3.074 4.283
Nd Al O
2 2 6
Cartesian
0.000 0.000 3.212 Nd
0.000 0.000 9.637 Nd
0.000 0.000 0.000 Al
0.000 0.000 6.425 Al
-1.470 0.528 5.354 O
-1.192 -1.009 7.496 O
0.278 -1.537 5.354 O
-0.278 1.537 7.496 O
1.192 1.009 5.354 O
1.470 -0.528 7.496 O
```

Volume = 52.6 Å³/f.u.
DFT total energy = -8.343 eV/atom
E_form (uncorrected) = -16.7 eV per formula unit
Calculated density = 6.923 Mg/m³
Space group = R-3c (167)

***

# 8
## LaIr2Os (GGA-PBEsol)

Data for a relaxed LaIr2Os crystal.

```
LaIr2Os
1.0
2.796 0.000 0.000
0.000 3.688 0.000
-0.008 0.000 6.896
La Ir Os
1 2 1
Cartesian
0.000 0.000 0.000 La
1.394 1.844 2.132 Ir
1.393 1.844 4.764 Ir
-0.004 0.000 3.448 Os
```

Volume = 71.1 Å³/f.u.
ΔE to the lowest computed polymorph = 0.000 eV/atom
DFT total energy = -9.235 eV/atom
Calculated density = 16.665 Mg/m³
E_form = 67.2 meV/atom
Space group = P2/m (10)

***

# 9
## HoAlB14 (GGA-PBEsol)

Data for a relaxed HoAlB14 crystal.

```
HoAlB14
1.0
-2.942 5.205 4.100
2.942 -5.205 4.100
2.942 5.205 -4.100
Ho Al B
2 2 28
Cartesian
0.000 2.602 1.230 Ho
2.942 2.602 2.870 Ho
1.471 2.602 -2.050 Al
1.471 -2.602 2.050 Al
2.942 -3.709 3.068 B
1.483 0.833 -0.394 B
4.401 0.833 -0.394 B
2.942 -0.935 1.372 B
2.942 1.739 0.279 B
1.984 0.639 1.331 B
3.900 0.639 1.331 B
2.942 -1.496 3.068 B
2.942 4.269 -1.372 B
2.942 3.465 0.279 B
1.483 4.372 -0.394 B
1.459 -0.833 3.706 B
1.984 5.843 -1.331 B
0.958 0.639 2.769 B
1.984 4.566 1.331 B
0.958 -0.639 5.431 B
1.483 6.037 0.394 B
1.459 0.833 4.495 B
0.000 1.739 3.821 B
0.000 0.935 5.472 B
0.000 6.700 1.033 B
-0.958 4.566 2.769 B
0.958 4.566 2.769 B
0.000 3.465 3.821 B
0.000 6.140 2.729 B
-1.459 4.372 4.495 B
1.459 4.372 4.495 B
0.000 8.913 1.033 B
```

Volume = 125.6 Å³/f.u.
DFT total energy = -6.913 eV/atom
Calculated density = 4.540 Mg/m³
E_form = -208.3 meV/atom
Space group = Imma (74)

***

# 10
## ZrScCu2 (GGA-PBEsol)

Data for a relaxed ZrScCu2 crystal.

```
ZrScCu2
1.0
1.545 0.892 8.444
-1.545 0.892 8.444
0.000 -1.784 8.444
Zr Sc Cu
1 1 2
Cartesian
0.000 0.000 0.000 Zr
0.000 0.000 12.666 Sc
0.000 0.000 6.284 Cu
0.000 0.000 19.048 Cu
```

Volume = 69.8 Å³/f.u.
ΔE to the lowest computed polymorph = 0.323 eV/atom
DFT total energy = -5.947 eV/atom
Calculated density = 6.262 Mg/m³
E_form = 143.8 meV/atom
Space group = R-3m (166)

***

# 11
## SiSe2O (GGA-PBEsol)

Data for a relaxed SiSe2O crystal.

```
SiSe2O
1.0
1.433 0.827 8.438
-1.433 0.827 8.438
0.000 -1.654 8.438
Si Se O
1 2 1
Cartesian
0.000 0.000 0.000 Si
0.000 0.000 2.510 Se
0.000 0.000 22.805 Se
0.000 0.000 12.657 O
```

Volume = 60.0 Å³/f.u.
ΔE to the lowest computed polymorph = 0.226 eV/atom
DFT total energy = -4.239 eV/atom
E_form (uncorrected) = 1.7 eV per formula unit
Calculated density = 5.592 Mg/m³
Space group = R-3m (166)

***

# 12
## HgIr2Au (GGA-PBEsol)

Data for a relaxed HgIr2Au crystal.

```
HgIr2Au
1.0
2.757 0.000 0.000
0.000 3.517 0.000
0.000 0.000 6.904
Hg Ir Au
1 2 1
Cartesian
0.000 0.000 0.000 Hg
0.000 0.000 3.199 Ir
1.379 1.759 1.923 Ir
1.379 1.759 4.950 Au
```

Volume = 66.9 Å³/f.u.
DFT total energy = -5.709 eV/atom
Calculated density = 19.398 Mg/m³
E_form = 325.4 meV/atom
Space group = Pmm2 (25)

***

Repeat the ninth record exactly.
## HoAlB14 (GGA-PBEsol)

Data for a relaxed HoAlB14 crystal.

```
HoAlB14
1.0
-2.942 5.205 4.100
2.942 -5.205 4.100
2.942 5.205 -4.100
Ho Al B
2 2 28
Cartesian
0.000 2.602 1.230 Ho
2.942 2.602 2.870 Ho
1.471 2.602 -2.050 Al
1.471 -2.602 2.050 Al
2.942 -3.709 3.068 B
1.483 0.833 -0.394 B
4.401 0.833 -0.394 B
2.942 -0.935 1.372 B
2.942 1.739 0.279 B
1.984 0.639 1.331 B
3.900 0.639 1.331 B
2.942 -1.496 3.068 B
2.942 4.269 -1.372 B
2.942 3.465 0.279 B
1.483 4.372 -0.394 B
1.459 -0.833 3.706 B
1.984 5.843 -1.331 B
0.958 0.639 2.769 B
1.984 4.566 1.331 B
0.958 -0.639 5.431 B
1.483 6.037 0.394 B
1.459 0.833 4.495 B
0.000 1.739 3.821 B
0.000 0.935 5.472 B
0.000 6.700 1.033 B
-0.958 4.566 2.769 B
0.958 4.566 2.769 B
0.000 3.465 3.821 B
0.000 6.140 2.729 B
-1.459 4.372 4.495 B
1.459 4.372 4.495 B
0.000 8.913 1.033 B
```

Volume = 125.6 Å³/f.u.
DFT total energy = -6.913 eV/atom
Calculated density = 4.540 Mg/m³
E_form = -208.3 meV/atom
Space group = Imma (74)

***

Which formula does entry 8 have? LaIr2Os